# PBE with a Hubbard U LaMn2F, optimized geometry
# **Crystal system**: cubic
# **Offset from the most stable computed form**: 1.418 eV/f.u.
# **Volume**: 23.7 A^3/atom
# **N(E_F)**: 10.5 states/eV per cell
data_LaMn2F
_cell_length_a 7.2338
_cell_length_b 7.2338
_cell_length_c 7.2338
_cell_angle_alpha 90.00
_cell_angle_beta 90.00
_cell_angle_gamma 90.00
_space_group_name_H-M_alt 'F m -3 m'
_space_group_IT_number 225
_space_group_name_Hall '-F 4 2 3'
loop_
_atom_site_label
_atom_site_type_symbol
_atom_site_fract_x
_atom_site_fract_y
_atom_site_fract_z
_atom_site_occupancy
La1 La 0.0000 0.0000 0.0000 1
Mn1 Mn 0.2500 0.2500 0.2500 1
F1 F 0.0000 0.0000 0.5000 1